Entry 1:
## CaAgSbTe3 (GGA-PBE)

Data for a relaxed CaAgSbTe3 crystal.

Lattice parameters (Å, degrees): 8.863 4.375 9.707 90.00 100.84 90.00
Positions (direct):
Ca 0.174 0.250 0.259
Ca 0.826 0.750 0.741
Ag 0.075 0.250 0.583
Ag 0.925 0.750 0.417
Sb 0.332 0.750 0.848
Sb 0.668 0.250 0.152
Te 0.100 0.250 0.887
Te 0.260 0.750 0.509
Te 0.417 0.750 0.160
Te 0.583 0.250 0.840
Te 0.740 0.250 0.491
Te 0.900 0.750 0.113

Results
- total magnetic moment (μB per atom) = 0.000
- E_form (uncorrected) (meV per atom) = -561

---

Entry 2:
## CaTi2AgSb (GGA-PBE)

Data for a relaxed CaTi2AgSb crystal.

Lattice parameters (Å, degrees): 4.744 4.744 5.438 90.00 90.00 90.00
Positions (direct):
Ca 0.000 0.000 0.000
Ti 0.000 0.500 0.000
Ti 0.500 0.000 0.000
Ag 0.500 0.500 0.500
Sb 0.000 0.000 0.500

Results
- total magnetic moment (μB per atom) = 0.000
- E_form (uncorrected) (meV per atom) = 1425

---

Entry 3:
## CaTlAgSb (GGA-PBE)

Data for a relaxed CaTlAgSb crystal.

Lattice parameters (Å, degrees): 5.293 5.293 5.293 60.00 60.00 60.00
Positions (direct):
Ca 0.000 0.000 0.000
Tl 0.750 0.750 0.750
Ag 0.500 0.500 0.500
Sb 0.250 0.250 0.250

Results
- total magnetic moment (μB per atom) = 0.000
- E_form (uncorrected) (meV per atom) = -265

---

Entry 4:
## CaYAgSb (GGA-PBE)

Data for a relaxed CaYAgSb crystal.

Lattice parameters (Å, degrees): 5.281 5.281 5.281 60.00 60.00 60.00
Positions (direct):
Ca 0.000 0.000 0.000
Y 0.500 0.500 0.500
Ag 0.250 0.250 0.250
Sb 0.750 0.750 0.750

Results
- total magnetic moment (μB per atom) = 0.001
- E_form (uncorrected) (meV per atom) = -576

---

Entry 5:
## CaZn2AgSb (GGA-PBE)

Data for a relaxed CaZn2AgSb crystal.

Lattice parameters (Å, degrees): 5.215 5.215 5.372 90.00 90.00 90.00
Positions (direct):
Ca 0.000 0.000 0.000
Zn 0.000 0.500 0.500
Zn 0.500 0.000 0.500
Ag 0.500 0.500 0.000
Sb 0.500 0.500 0.500

Results
- total magnetic moment (μB per atom) = 0.000
- E_form (uncorrected) (meV per atom) = 255

---

Entry 6:
## Ca2ScAg (GGA-PBE)

Data for a relaxed Ca2ScAg crystal.

Lattice parameters (Å, degrees): 5.429 5.429 5.429 60.00 60.00 60.00
Positions (direct):
Ca 0.250 0.250 0.250
Ca 0.750 0.750 0.750
Sc 0.000 0.000 0.000
Ag 0.500 0.500 0.500

Results
- total magnetic moment (μB per atom) = 0.000
- E above lowest polymorph (eV/f.u.) = 0.90